This record from the Alexandria database describes an optimized crystal structure of Np2Fe3P4Ir. The functional is GGA-PBE.

Geometry as CIF:
```
data_Np2Fe3P4Ir
_chemical_formula_sum 'Np2 Fe3 P4 Ir1'
_space_group_name_H-M_alt 'P 1'
_space_group_IT_number 1
_space_group_name_Hall 'P 1'
_cell_length_a 3.959
_cell_length_b 3.959
_cell_length_c 9.177
_cell_angle_alpha 90.00
_cell_angle_beta 90.00
_cell_angle_gamma 90.00
loop_
_atom_site_label
_atom_site_fract_x
_atom_site_fract_y
_atom_site_fract_z
Np1 0.000 0.500 0.234
Np2 0.500 0.000 0.766
Fe1 0.000 0.500 0.885
Fe2 0.500 0.000 0.115
Fe3 0.500 0.500 0.500
P1 0.000 0.000 0.000
P2 0.000 0.500 0.643
P3 0.500 0.000 0.357
P4 0.500 0.500 0.000
Ir1 0.000 0.000 0.500
```

Summary:
Size of the total moment, μB per cell: 4.97
Theoretical density, Mg/m³: 11.05
Energy of formation, eV/atom: -0.693
Raw total energy, eV per atom: -8.870
Crystal system: tetragonal
DOS(E_F), states/eV/cell: 20.48

***

This record from the Alexandria database describes an optimized crystal structure of Np2FeP4Ir3. The functional is GGA-PBE.

Geometry as CIF:
```
data_Np2FeP4Ir3
_chemical_formula_sum 'Np2 Fe1 P4 Ir3'
_space_group_name_H-M_alt 'P 1'
_space_group_IT_number 1
_space_group_name_Hall 'P 1'
_cell_length_a 4.149
_cell_length_b 4.149
_cell_length_c 9.323
_cell_angle_alpha 90.00
_cell_angle_beta 90.00
_cell_angle_gamma 90.00
loop_
_atom_site_label
_atom_site_fract_x
_atom_site_fract_y
_atom_site_fract_z
Np1 0.000 0.500 0.250
Np2 0.500 0.000 0.750
Fe1 0.000 0.000 0.500
P1 0.000 0.000 0.000
P2 0.000 0.500 0.631
P3 0.500 0.000 0.369
P4 0.500 0.500 0.000
Ir1 0.000 0.500 0.883
Ir2 0.500 0.000 0.117
Ir3 0.500 0.500 0.500
```

Summary:
Size of the total moment, μB per cell: 5.31
Theoretical density, Mg/m³: 12.73
Energy of formation, eV/atom: -0.667
Raw total energy, eV per atom: -8.923
Crystal system: tetragonal
DOS(E_F), states/eV/cell: 19.45

***

This record from the Alexandria database describes an optimized crystal structure of PuNpFeIr. The functional is GGA-PBE.

Geometry as CIF:
```
data_PuNpFeIr
_chemical_formula_sum 'Pu4 Np4 Fe4 Ir4'
_space_group_name_H-M_alt 'P 1'
_space_group_IT_number 1
_space_group_name_Hall 'P 1'
_cell_length_a 6.757
_cell_length_b 6.757
_cell_length_c 6.757
_cell_angle_alpha 90.00
_cell_angle_beta 90.00
_cell_angle_gamma 90.00
loop_
_atom_site_label
_atom_site_fract_x
_atom_site_fract_y
_atom_site_fract_z
Pu1 0.000 0.000 0.000
Pu2 0.000 0.500 0.500
Pu3 0.500 0.000 0.500
Pu4 0.500 0.500 0.000
Np1 0.000 0.000 0.500
Np2 0.000 0.500 0.000
Np3 0.500 0.000 0.000
Np4 0.500 0.500 0.500
Fe1 0.250 0.250 0.250
Fe2 0.250 0.750 0.750
Fe3 0.750 0.250 0.750
Fe4 0.750 0.750 0.250
Ir1 0.250 0.250 0.750
Ir2 0.250 0.750 0.250
Ir3 0.750 0.250 0.250
Ir4 0.750 0.750 0.750
```

Summary:
Size of the total moment, μB per cell: 28.36
Theoretical density, Mg/m³: 15.69
Energy of formation, eV/atom: -0.087
Raw total energy, eV per atom: -11.236
Crystal system: cubic
DOS(E_F), states/eV/cell: 38.07

***

This record from the Alexandria database describes an optimized crystal structure of NpFeSi3Ir. The functional is GGA-PBE.

Geometry as CIF:
```
data_NpFeSi3Ir
_chemical_formula_sum 'Np2 Fe2 Si6 Ir2'
_space_group_name_H-M_alt 'P 1'
_space_group_IT_number 1
_space_group_name_Hall 'P 1'
_cell_length_a 6.623
_cell_length_b 6.623
_cell_length_c 5.393
_cell_angle_alpha 90.00
_cell_angle_beta 90.00
_cell_angle_gamma 114.24
loop_
_atom_site_label
_atom_site_fract_x
_atom_site_fract_y
_atom_site_fract_z
Np1 0.247 0.753 0.750
Np2 0.753 0.247 0.250
Fe1 0.047 0.953 0.250
Fe2 0.953 0.047 0.750
Si1 0.233 0.767 0.250
Si2 0.241 0.241 0.000
Si3 0.241 0.241 0.500
Si4 0.759 0.759 0.000
Si5 0.759 0.759 0.500
Si6 0.767 0.233 0.750
Ir1 0.432 0.568 0.250
Ir2 0.568 0.432 0.750
```

Summary:
Size of the total moment, μB per cell: 8.60
Theoretical density, Mg/m³: 8.76
Raw total energy, eV per atom: -7.932
Crystal system: orthorhombic
DOS(E_F), states/eV/cell: 20.26

***

This record from the Alexandria database describes an optimized crystal structure of Np2FeSi4Ir3. The functional is GGA-PBE.

Geometry as CIF:
```
data_Np2FeSi4Ir3
_chemical_formula_sum 'Np2 Fe1 Si4 Ir3'
_space_group_name_H-M_alt 'P 1'
_space_group_IT_number 1
_space_group_name_Hall 'P 1'
_cell_length_a 4.110
_cell_length_b 4.110
_cell_length_c 9.765
_cell_angle_alpha 90.00
_cell_angle_beta 90.00
_cell_angle_gamma 90.00
loop_
_atom_site_label
_atom_site_fract_x
_atom_site_fract_y
_atom_site_fract_z
Np1 0.000 0.500 0.248
Np2 0.500 0.000 0.752
Fe1 0.500 0.500 0.000
Si1 0.000 0.000 0.500
Si2 0.000 0.500 0.876
Si3 0.500 0.000 0.124
Si4 0.500 0.500 0.500
Ir1 0.000 0.000 0.000
Ir2 0.000 0.500 0.631
Ir3 0.500 0.000 0.369
```

Summary:
Size of the total moment, μB per cell: 6.74
Theoretical density, Mg/m³: 12.27
Raw total energy, eV per atom: -8.898
Crystal system: tetragonal
DOS(E_F), states/eV/cell: 20.71

***

This record from the Alexandria database describes an optimized crystal structure of NpFeSi2Ir. The functional is GGA-PBE.

Geometry as CIF:
```
data_NpFeSi2Ir
_chemical_formula_sum 'Np2 Fe2 Si4 Ir2'
_space_group_name_H-M_alt 'P 1'
_space_group_IT_number 1
_space_group_name_Hall 'P 1'
_cell_length_a 4.002
_cell_length_b 4.002
_cell_length_c 9.865
_cell_angle_alpha 90.00
_cell_angle_beta 90.00
_cell_angle_gamma 90.00
loop_
_atom_site_label
_atom_site_fract_x
_atom_site_fract_y
_atom_site_fract_z
Np1 0.000 0.000 0.000
Np2 0.500 0.500 0.500
Fe1 0.000 0.500 0.250
Fe2 0.500 0.000 0.750
Si1 0.000 0.000 0.376
Si2 0.000 0.000 0.624
Si3 0.500 0.500 0.124
Si4 0.500 0.500 0.876
Ir1 0.000 0.500 0.750
Ir2 0.500 0.000 0.250
```

Summary:
Size of the total moment, μB per cell: 6.59
Theoretical density, Mg/m³: 11.38
Raw total energy, eV per atom: -8.801
Crystal system: tetragonal
DOS(E_F), states/eV/cell: 26.23

***

This record from the Alexandria database describes an optimized crystal structure of NpUFeIr. The functional is GGA-PBE.

Geometry as CIF:
```
data_NpUFeIr
_chemical_formula_sum 'Np4 U4 Fe4 Ir4'
_space_group_name_H-M_alt 'P 1'
_space_group_IT_number 1
_space_group_name_Hall 'P 1'
_cell_length_a 6.450
_cell_length_b 6.450
_cell_length_c 6.450
_cell_angle_alpha 90.00
_cell_angle_beta 90.00
_cell_angle_gamma 90.00
loop_
_atom_site_label
_atom_site_fract_x
_atom_site_fract_y
_atom_site_fract_z
Np1 0.000 0.000 0.000
Np2 0.000 0.500 0.500
Np3 0.500 0.000 0.500
Np4 0.500 0.500 0.000
U1 0.250 0.250 0.750
U2 0.250 0.750 0.250
U3 0.750 0.250 0.250
U4 0.750 0.750 0.750
Fe1 0.250 0.250 0.250
Fe2 0.250 0.750 0.750
Fe3 0.750 0.250 0.750
Fe4 0.750 0.750 0.250
Ir1 0.000 0.000 0.500
Ir2 0.000 0.500 0.000
Ir3 0.500 0.000 0.000
Ir4 0.500 0.500 0.500
```

Summary:
Size of the total moment, μB per cell: 8.34
Theoretical density, Mg/m³: 17.90
Energy of formation, eV/atom: -0.334
Raw total energy, eV per atom: -10.723
Crystal system: cubic
DOS(E_F), states/eV/cell: 9.65

***

This record from the Alexandria database describes an optimized crystal structure of NpZnFeIr. The functional is GGA-PBE.

Geometry as CIF:
```
data_NpZnFeIr
_chemical_formula_sum 'Np4 Zn4 Fe4 Ir4'
_space_group_name_H-M_alt 'P 1'
_space_group_IT_number 1
_space_group_name_Hall 'P 1'
_cell_length_a 6.404
_cell_length_b 6.404
_cell_length_c 6.404
_cell_angle_alpha 90.00
_cell_angle_beta 90.00
_cell_angle_gamma 90.00
loop_
_atom_site_label
_atom_site_fract_x
_atom_site_fract_y
_atom_site_fract_z
Np1 0.000 0.000 0.000
Np2 0.000 0.500 0.500
Np3 0.500 0.000 0.500
Np4 0.500 0.500 0.000
Zn1 0.000 0.000 0.500
Zn2 0.000 0.500 0.000
Zn3 0.500 0.000 0.000
Zn4 0.500 0.500 0.500
Fe1 0.250 0.250 0.250
Fe2 0.250 0.750 0.750
Fe3 0.750 0.250 0.750
Fe4 0.750 0.750 0.250
Ir1 0.250 0.250 0.750
Ir2 0.250 0.750 0.250
Ir3 0.750 0.250 0.250
Ir4 0.750 0.750 0.750
```

Summary:
Size of the total moment, μB per cell: 6.00
Theoretical density, Mg/m³: 13.92
Energy of formation, eV/atom: -0.089
Raw total energy, eV per atom: -7.973
Crystal system: cubic
DOS(E_F), states/eV/cell: 19.05